[1]
VASP calculation (GGA-PBE) on a relaxed DyTmGa2Ag2 crystal.

POSCAR file:
```
DyTmGa2Ag2
1.0
4.5807 0.0000 0.0000
-2.2904 3.9670 0.0000
0.0000 0.0000 6.9569
Dy Tm Ga Ag
1 1 2 2
Cartesian
0.0000 0.0000 0.0000
0.0000 0.0000 3.4785
0.0000 2.6447 1.9808
0.0000 2.6447 4.9761
2.2904 1.3223 1.6782
2.2904 1.3223 5.2787
```

## Properties
Crystal system ... hexagonal
Final energy ... -0.1457 hartree per atom

[2]
VASP calculation (GGA-PBE) on a relaxed HfFeSiHg crystal.

POSCAR file:
```
HfFeSiHg
1.0
0.0000 3.2334 3.2334
3.2334 0.0000 3.2334
3.2334 3.2334 0.0000
Hf Fe Si Hg
1 1 1 1
Cartesian
0.0000 0.0000 0.0000
4.8502 4.8502 4.8502
3.2334 3.2334 3.2334
1.6167 1.6167 1.6167
```

## Properties
Polymorph energy (0 for the lowest one) ... 13.8 kJ per mole of atoms
Crystal system ... cubic

Let's list total magnetic moment in order: 0.01 1.53 μB/f.u..